## LaCoO3 (GGA+U)

Data for a relaxed LaCoO3 crystal.

a = 6.1782 Å, b = 9.1553 Å, c = 5.4672 Å
α = 90.00°, β = 90.00°, γ = 90.00°
Closest atoms and distances in Å follow each position.
Space group Pnma (No. 62)
Symmetry-distinct sites (fractional):
La1 0.0000 0.0000 0.0000 (multiplicity 4)  6 O 2.35-2.55
Co1 0.1295 0.2500 0.4510 (multiplicity 4)  3 O 1.82-1.83
O1 0.0599 0.7500 0.8066 (multiplicity 4)  1 Co 1.83
O2 0.1677 0.0906 0.6454 (multiplicity 8)  1 Co 1.82

Computed properties:
The value obtained for the calculated volume is 15.46 A^3/atom. For the total energy, the calculation gives -7.05 eV/atom.